An optimized crystal structure of Ba2AlAg. Source: the Alexandria database, functional PBE.

The structure in CIF format:
```
data_Ba2AlAg
_symmetry_space_group_name_H-M 'I m m 2'
_symmetry_Int_Tables_number 44
_symmetry_space_group_name_Hall 'I 2 -2'
_cell_length_a 4.172
_cell_length_b 5.795
_cell_length_c 11.279
_cell_angle_alpha 90.00
_cell_angle_beta 90.00
_cell_angle_gamma 90.00
loop_
_atom_site_label
_atom_site_fract_x
_atom_site_fract_y
_atom_site_fract_z
Ba1 0.000 0.000 0.000
Ba2 0.000 0.500 0.193
Al1 0.000 0.000 0.415
Ag1 0.000 0.500 0.776
```

Output
The magnetization is 0.0 μB per formula unit. For the total energy, the calculation gives -21.91 eV/cell. The energy relative to the elements is -129 meV per atom.

---

An optimized crystal structure of MgBeMo4. Source: the Alexandria database, functional PBE.

The structure in CIF format:
```
data_MgBeMo4
_symmetry_space_group_name_H-M 'F -4 3 m'
_symmetry_Int_Tables_number 216
_symmetry_space_group_name_Hall 'F -4 2 3'
_cell_length_a 7.407
_cell_length_b 7.407
_cell_length_c 7.407
_cell_angle_alpha 90.00
_cell_angle_beta 90.00
_cell_angle_gamma 90.00
loop_
_atom_site_label
_atom_site_fract_x
_atom_site_fract_y
_atom_site_fract_z
Mg1 0.000 0.000 0.000
Be1 0.250 0.250 0.250
Mo1 0.125 0.125 0.625
```

Output
The magnetization is 0.0 μB per formula unit. For the total energy, the calculation gives -179.97 eV/cell. The energy relative to the elements is 609 meV per atom.

---

An optimized crystal structure of ZnCdTe4. Source: the Alexandria database, functional PBE.

The structure in CIF format:
```
data_ZnCdTe4
_symmetry_space_group_name_H-M 'F -4 3 m'
_symmetry_Int_Tables_number 216
_symmetry_space_group_name_Hall 'F -4 2 3'
_cell_length_a 9.065
_cell_length_b 9.065
_cell_length_c 9.065
_cell_angle_alpha 90.00
_cell_angle_beta 90.00
_cell_angle_gamma 90.00
loop_
_atom_site_label
_atom_site_fract_x
_atom_site_fract_y
_atom_site_fract_z
Zn1 0.000 0.000 0.000
Cd1 0.250 0.250 0.750
Te1 0.125 0.125 0.375
```

Output
The magnetization is 0.0 μB per formula unit. For the total energy, the calculation gives -50.05 eV/cell.

---

An optimized crystal structure of LaTl2Ge. Source: the Alexandria database, functional PBE.

The structure in CIF format:
```
data_LaTl2Ge
_symmetry_space_group_name_H-M 'R -3 m'
_symmetry_Int_Tables_number 166
_symmetry_space_group_name_Hall '-R 3 2"'
_cell_length_a 3.5223
_cell_length_b 3.5223
_cell_length_c 33.8584
_cell_angle_alpha 90.00
_cell_angle_beta 90.00
_cell_angle_gamma 120.00
loop_
_atom_site_label
_atom_site_fract_x
_atom_site_fract_y
_atom_site_fract_z
La1 0.0000 0.0000 0.0000
Tl1 0.0000 0.0000 0.0974
Ge1 0.0000 0.0000 0.5000
```

Output
The magnetization is 0.0 μB per formula unit. For the total energy, the calculation gives -40.64 eV/cell. The energy relative to the elements is 183 meV per atom.

---

An optimized crystal structure of GdCdSn. Source: the Alexandria database, functional PBE.

The structure in CIF format:
```
data_GdCdSn
_symmetry_space_group_name_H-M 'I 4 m m'
_symmetry_Int_Tables_number 107
_symmetry_space_group_name_Hall 'I 4 -2'
_cell_length_a 3.570
_cell_length_b 3.570
_cell_length_c 12.338
_cell_angle_alpha 90.00
_cell_angle_beta 90.00
_cell_angle_gamma 90.00
loop_
_atom_site_label
_atom_site_fract_x
_atom_site_fract_y
_atom_site_fract_z
Gd1 0.000 0.000 0.000
Cd1 0.000 0.000 0.670
Sn1 0.000 0.000 0.323
```

Output
The magnetization is 7.6 μB per formula unit. For the total energy, the calculation gives -40.01 eV/cell. The energy relative to the elements is -335 meV per atom.

---

An optimized crystal structure of PmAlGaGe. Source: the Alexandria database, functional PBE.

The structure in CIF format:
```
data_PmAlGaGe
_symmetry_space_group_name_H-M 'F -4 3 m'
_symmetry_Int_Tables_number 216
_symmetry_space_group_name_Hall 'F -4 2 3'
_cell_length_a 6.989
_cell_length_b 6.989
_cell_length_c 6.989
_cell_angle_alpha 90.00
_cell_angle_beta 90.00
_cell_angle_gamma 90.00
loop_
_atom_site_label
_atom_site_fract_x
_atom_site_fract_y
_atom_site_fract_z
Pm1 0.000 0.000 0.000
Al1 0.000 0.000 0.500
Ga1 0.250 0.250 0.750
Ge1 0.250 0.250 0.250
```

Output
The magnetization is 0.0 μB per formula unit. For the total energy, the calculation gives -67.85 eV/cell. The energy relative to the elements is -207 meV per atom.

---

An optimized crystal structure of Nb2CdTe. Source: the Alexandria database, functional PBE.

The structure in CIF format:
```
data_Nb2CdTe
_symmetry_space_group_name_H-M 'F m -3 m'
_symmetry_Int_Tables_number 225
_symmetry_space_group_name_Hall '-F 4 2 3'
_cell_length_a 6.799
_cell_length_b 6.799
_cell_length_c 6.799
_cell_angle_alpha 90.00
_cell_angle_beta 90.00
_cell_angle_gamma 90.00
loop_
_atom_site_label
_atom_site_fract_x
_atom_site_fract_y
_atom_site_fract_z
Nb1 0.250 0.250 0.250
Cd1 0.000 0.000 0.000
Te1 0.000 0.000 0.500
```

Output
The magnetization is 0.0 μB per formula unit. For the total energy, the calculation gives -92.16 eV/cell.

---

An optimized crystal structure of KMgOsC2. Source: the Alexandria database, functional PBE.

The structure in CIF format:
```
data_KMgOsC2
_symmetry_space_group_name_H-M 'P 4/m m m'
_symmetry_Int_Tables_number 123
_symmetry_space_group_name_Hall '-P 4 2'
_cell_length_a 4.383
_cell_length_b 4.383
_cell_length_c 4.906
_cell_angle_alpha 90.00
_cell_angle_beta 90.00
_cell_angle_gamma 90.00
loop_
_atom_site_label
_atom_site_fract_x
_atom_site_fract_y
_atom_site_fract_z
K1 0.000 0.000 0.000
Mg1 0.500 0.500 0.500
Os1 0.500 0.500 0.000
C1 0.000 0.500 0.500
```

Output
The magnetization is 2.0 μB per formula unit. For the total energy, the calculation gives -18.22 eV/cell. The energy relative to the elements is 2830 meV per atom.

---

An optimized crystal structure of Tl2RuI5. Source: the Alexandria database, functional PBE.

The structure in CIF format:
```
data_Tl2RuI5
_symmetry_space_group_name_H-M 'C 1 m 1'
_symmetry_Int_Tables_number 8
_symmetry_space_group_name_Hall 'C -2y'
_cell_length_a 9.486
_cell_length_b 11.895
_cell_length_c 7.604
_cell_angle_alpha 90.00
_cell_angle_beta 128.54
_cell_angle_gamma 90.00
loop_
_atom_site_label
_atom_site_fract_x
_atom_site_fract_y
_atom_site_fract_z
Tl1 0.000 0.249 0.000
Ru1 0.491 0.000 0.501
I1 0.183 0.500 0.949
I2 0.238 0.000 0.053
I3 0.259 0.500 0.503
I4 0.460 0.224 0.501
```

Output
The magnetization is 1.0 μB per formula unit. For the total energy, the calculation gives -47.33 eV/cell.

---

An optimized crystal structure of Ca3TlNi. Source: the Alexandria database, functional PBE.

The structure in CIF format:
```
data_Ca3TlNi
_symmetry_space_group_name_H-M 'P m -3 m'
_symmetry_Int_Tables_number 221
_symmetry_space_group_name_Hall '-P 4 2 3'
_cell_length_a 5.402
_cell_length_b 5.402
_cell_length_c 5.402
_cell_angle_alpha 90.00
_cell_angle_beta 90.00
_cell_angle_gamma 90.00
loop_
_atom_site_label
_atom_site_fract_x
_atom_site_fract_y
_atom_site_fract_z
Ca1 0.000 0.000 0.500
Tl1 0.500 0.500 0.500
Ni1 0.000 0.000 0.000
```

Output
The magnetization is 0.0 μB per formula unit. For the total energy, the calculation gives -14.73 eV/cell. The energy relative to the elements is -115 meV per atom.

---

An optimized crystal structure of V2GaHRh. Source: the Alexandria database, functional PBE.

The structure in CIF format:
```
data_V2GaHRh
_symmetry_space_group_name_H-M 'P 4/m m m'
_symmetry_Int_Tables_number 123
_symmetry_space_group_name_Hall '-P 4 2'
_cell_length_a 3.632
_cell_length_b 3.632
_cell_length_c 4.365
_cell_angle_alpha 90.00
_cell_angle_beta 90.00
_cell_angle_gamma 90.00
loop_
_atom_site_label
_atom_site_fract_x
_atom_site_fract_y
_atom_site_fract_z
V1 0.000 0.500 0.000
Ga1 0.000 0.000 0.500
H1 0.000 0.000 0.000
Rh1 0.500 0.500 0.500
```

Output
The magnetization is 0.0 μB per formula unit. For the total energy, the calculation gives -33.11 eV/cell.

---

An optimized crystal structure of AlCrRu2. Source: the Alexandria database, functional PBE.

The structure in CIF format:
```
data_AlCrRu2
_symmetry_space_group_name_H-M 'P m m 2'
_symmetry_Int_Tables_number 25
_symmetry_space_group_name_Hall 'P 2 -2'
_cell_length_a 2.744
_cell_length_b 3.927
_cell_length_c 5.026
_cell_angle_alpha 90.00
_cell_angle_beta 90.00
_cell_angle_gamma 90.00
loop_
_atom_site_label
_atom_site_fract_x
_atom_site_fract_y
_atom_site_fract_z
Al1 0.000 0.000 0.000
Cr1 0.500 0.500 0.263
Ru1 0.000 0.000 0.490
Ru2 0.500 0.500 0.798
```

Output
The magnetization is 0.1 μB per formula unit. For the total energy, the calculation gives -32.50 eV/cell. The energy relative to the elements is -145 meV per atom.

---

An optimized crystal structure of Sn2PN. Source: the Alexandria database, functional PBE.

The structure in CIF format:
```
data_Sn2PN
_symmetry_space_group_name_H-M 'R -3 m'
_symmetry_Int_Tables_number 166
_symmetry_space_group_name_Hall '-R 3 2"'
_cell_length_a 4.2541
_cell_length_b 4.2541
_cell_length_c 20.1214
_cell_angle_alpha 90.00
_cell_angle_beta 90.00
_cell_angle_gamma 120.00
loop_
_atom_site_label
_atom_site_fract_x
_atom_site_fract_y
_atom_site_fract_z
Sn1 0.0000 0.0000 0.0967
P1 0.0000 0.0000 0.5000
N1 0.0000 0.0000 0.0000
```

Output
The magnetization is 0.0 μB per formula unit. For the total energy, the calculation gives -58.25 eV/cell.

---

An optimized crystal structure of CaLa2RuPt. Source: the Alexandria database, functional PBE.

The structure in CIF format:
```
data_CaLa2RuPt
_symmetry_space_group_name_H-M 'P 4/m m m'
_symmetry_Int_Tables_number 123
_symmetry_space_group_name_Hall '-P 4 2'
_cell_length_a 5.625
_cell_length_b 5.625
_cell_length_c 4.717
_cell_angle_alpha 90.00
_cell_angle_beta 90.00
_cell_angle_gamma 90.00
loop_
_atom_site_label
_atom_site_fract_x
_atom_site_fract_y
_atom_site_fract_z
Ca1 0.000 0.000 0.000
La1 0.000 0.500 0.000
Ru1 0.500 0.500 0.500
Pt1 0.000 0.000 0.500
```

Output
The magnetization is 1.2 μB per formula unit. For the total energy, the calculation gives -21.41 eV/cell. The energy relative to the elements is 1154 meV per atom.

---

An optimized crystal structure of Tb3Pr4Dy5. Source: the Alexandria database, functional PBE.

The structure in CIF format:
```
data_Tb3Pr4Dy5
_symmetry_space_group_name_H-M 'C 1 2/m 1'
_symmetry_Int_Tables_number 12
_symmetry_space_group_name_Hall '-C 2y'
_cell_length_a 16.205
_cell_length_b 5.969
_cell_length_c 9.432
_cell_angle_alpha 90.00
_cell_angle_beta 116.62
_cell_angle_gamma 90.00
loop_
_atom_site_label
_atom_site_fract_x
_atom_site_fract_y
_atom_site_fract_z
Tb1 0.000 0.000 0.000
Tb2 0.211 0.500 0.235
Pr1 0.084 0.500 0.445
Pr2 0.216 0.500 0.882
Dy1 0.000 0.500 0.000
Dy2 0.071 0.000 0.701
Dy3 0.171 0.000 0.385
```

Output
The magnetization is 0.4 μB per formula unit. For the total energy, the calculation gives -106.71 eV/cell. The energy relative to the elements is 222 meV per atom.

---

An optimized crystal structure of PaCoP2Rh2. Source: the Alexandria database, functional PBE.

The structure in CIF format:
```
data_PaCoP2Rh2
_symmetry_space_group_name_H-M 'I 4/m m m'
_symmetry_Int_Tables_number 139
_symmetry_space_group_name_Hall '-I 4 2'
_cell_length_a 3.840
_cell_length_b 3.840
_cell_length_c 13.726
_cell_angle_alpha 90.00
_cell_angle_beta 90.00
_cell_angle_gamma 90.00
loop_
_atom_site_label
_atom_site_fract_x
_atom_site_fract_y
_atom_site_fract_z
Pa1 0.000 0.000 0.000
Co1 0.000 0.000 0.500
P1 0.000 0.000 0.347
Rh1 0.000 0.500 0.250
```

Output
The magnetization is 0.2 μB per formula unit. For the total energy, the calculation gives -92.43 eV/cell. The energy relative to the elements is -682 meV per atom.

---

An optimized crystal structure of Ga2HgTe4. Source: the Alexandria database, functional PBE.

The structure in CIF format:
```
data_Ga2HgTe4
_symmetry_space_group_name_H-M 'P 1'
_symmetry_Int_Tables_number 1
_symmetry_space_group_name_Hall 'P 1'
_cell_length_a 7.586
_cell_length_b 8.715
_cell_length_c 14.423
_cell_angle_alpha 89.81
_cell_angle_beta 79.41
_cell_angle_gamma 89.95
loop_
_atom_site_label
_atom_site_fract_x
_atom_site_fract_y
_atom_site_fract_z
Ga1 0.000 0.000 0.000
Ga2 0.009 0.243 0.506
Ga3 0.237 0.491 0.251
Ga4 0.484 0.980 0.506
Ga5 0.742 0.730 0.259
Ga6 0.756 0.984 0.756
Ga7 0.767 0.475 0.754
Ga8 0.989 0.474 0.006
Hg1 0.060 0.704 0.495
Hg2 0.249 0.224 0.754
Hg3 0.434 0.746 0.001
Hg4 0.755 0.242 0.255
Te1 0.068 0.945 0.814
Te2 0.070 0.756 0.298
Te3 0.075 0.509 0.818
Te4 0.089 0.223 0.317
Te5 0.292 0.024 0.066
Te6 0.305 0.449 0.063
Te7 0.333 0.256 0.552
Te8 0.335 0.740 0.591
Te9 0.535 0.498 0.330
Te10 0.538 0.974 0.316
Te11 0.557 0.727 0.798
Te12 0.575 0.231 0.833
Te13 0.772 0.235 0.055
Te14 0.794 0.474 0.566
Te15 0.799 0.736 0.067
Te16 0.815 0.986 0.563
```

Output
The magnetization is 0.0 μB per formula unit. For the total energy, the calculation gives -83.27 eV/cell.

---

An optimized crystal structure of Tm4CuPt. Source: the Alexandria database, functional PBE.

The structure in CIF format:
```
data_Tm4CuPt
_symmetry_space_group_name_H-M 'P 1 21/c 1'
_symmetry_Int_Tables_number 14
_symmetry_space_group_name_Hall '-P 2ybc'
_cell_length_a 6.830
_cell_length_b 6.816
_cell_length_c 6.796
_cell_angle_alpha 90.00
_cell_angle_beta 90.61
_cell_angle_gamma 90.00
loop_
_atom_site_label
_atom_site_fract_x
_atom_site_fract_y
_atom_site_fract_z
Tm1 0.159 0.158 0.159
Tm2 0.340 0.658 0.159
Cu1 0.500 0.000 0.000
Pt1 0.000 0.000 0.500
```

Output
The magnetization is 0.0 μB per formula unit. For the total energy, the calculation gives -61.26 eV/cell. The energy relative to the elements is -434 meV per atom.

---

An optimized crystal structure of BaSeS4. Source: the Alexandria database, functional PBE.

The structure in CIF format:
```
data_BaSeS4
_symmetry_space_group_name_H-M 'C 1 2/c 1'
_symmetry_Int_Tables_number 15
_symmetry_space_group_name_Hall '-C 2yc'
_cell_length_a 7.357
_cell_length_b 13.260
_cell_length_c 6.873
_cell_angle_alpha 90.00
_cell_angle_beta 104.73
_cell_angle_gamma 90.00
loop_
_atom_site_label
_atom_site_fract_x
_atom_site_fract_y
_atom_site_fract_z
Ba1 0.000 0.143 0.250
Se1 0.000 0.500 0.000
S1 0.047 0.314 0.622
S2 0.245 0.458 0.319
```

Output
The magnetization is 0.0 μB per formula unit. For the total energy, the calculation gives -100.57 eV/cell.

---

An optimized crystal structure of U2Zn2Ni15. Source: the Alexandria database, functional PBE.

The structure in CIF format:
```
data_U2Zn2Ni15
_symmetry_space_group_name_H-M 'R -3 m'
_symmetry_Int_Tables_number 166
_symmetry_space_group_name_Hall '-R 3 2"'
_cell_length_a 8.2790
_cell_length_b 8.2790
_cell_length_c 12.4816
_cell_angle_alpha 90.00
_cell_angle_beta 90.00
_cell_angle_gamma 120.00
loop_
_atom_site_label
_atom_site_fract_x
_atom_site_fract_y
_atom_site_fract_z
U1 0.0000 0.0000 0.1020
Zn1 0.0000 0.0000 0.3800
Ni1 0.0000 0.3324 0.0000
Ni2 0.0000 0.5000 0.5000
Ni3 0.0098 0.5049 0.1643
```

Output
The magnetization is 4.0 μB per formula unit. For the total energy, the calculation gives -336.50 eV/cell. The energy relative to the elements is -17 meV per atom.